# HoNiAs

A geometry-optimized HoNiAs structure (GGA-PBE, the Open Quantum Materials Database).

Calculated values
Raw total energy (Ry/atom): -0.4407
Total magnetization (μB/cell): 0.0
Calculated volume (Å³/atom): 18.00

a = 4.0516 Å, b = 4.0516 Å, c = 15.1931 Å
α = 90.00°, β = 90.00°, γ = 120.00°
Last column: nearest neighbours and their distance in Å.
Atoms (fractional coordinates):
1 Ho 0.0000 0.0000 0.0000  6 As 2.97, 6 Ni 3.10
2 Ho 0.0000 0.0000 0.2500  6 Ni 2.93, 6 As 3.06
3 Ho 0.0000 0.0000 0.5000  6 As 2.97, 6 Ni 3.10
4 Ho 0.0000 0.0000 0.7500  6 Ni 2.93, 6 As 3.06
5 Ni 0.3333 0.6667 0.1342  3 As 2.35
6 Ni 0.3333 0.6667 0.3658  3 As 2.35
7 Ni 0.6667 0.3333 0.6342  3 As 2.35
8 Ni 0.6667 0.3333 0.8658  3 As 2.35
9 As 0.3333 0.6667 0.6204  3 Ni 2.35
10 As 0.3333 0.6667 0.8796  3 Ni 2.35
11 As 0.6667 0.3333 0.1204  3 Ni 2.35
12 As 0.6667 0.3333 0.3796  3 Ni 2.35

=====

# LiZnCu2

A geometry-optimized LiZnCu2 structure (GGA-PBE, the Open Quantum Materials Database).

Calculated values
Raw total energy (Ry/atom): -0.1995
Calculated volume (Å³/atom): 12.28

a = 5.8138 Å, b = 5.8138 Å, c = 5.8138 Å
α = 90.00°, β = 90.00°, γ = 90.00°
Last column: nearest neighbours and their distance in Å.
Atoms (fractional coordinates):
1 Li 0.0000 0.0000 0.0000  8 Cu 2.48
2 Li 0.0000 0.0000 0.5000  8 Cu 2.50
3 Li 0.0000 0.5000 0.0000  8 Cu 2.50
4 Li 0.5000 0.0000 0.0000  8 Cu 2.50
5 Zn 0.0000 0.5000 0.5000  8 Cu 2.53
6 Zn 0.5000 0.0000 0.5000  8 Cu 2.53
7 Zn 0.5000 0.5000 0.0000  8 Cu 2.53
8 Zn 0.5000 0.5000 0.5000  8 Cu 2.56
9 Cu 0.2458 0.2458 0.2458  4 Li 2.48-2.50, 4 Zn 2.53-2.56
10 Cu 0.2458 0.2458 0.7542  4 Li 2.48-2.50, 4 Zn 2.53-2.56
11 Cu 0.2458 0.7542 0.2458  4 Li 2.48-2.50, 4 Zn 2.53-2.56
12 Cu 0.2458 0.7542 0.7542  4 Li 2.48-2.50, 4 Zn 2.53-2.56
13 Cu 0.7542 0.2458 0.2458  4 Li 2.48-2.50, 4 Zn 2.53-2.56
14 Cu 0.7542 0.2458 0.7542  4 Li 2.48-2.50, 4 Zn 2.53-2.56
15 Cu 0.7542 0.7542 0.2458  4 Li 2.48-2.50, 4 Zn 2.53-2.56
16 Cu 0.7542 0.7542 0.7542  4 Li 2.48-2.50, 4 Zn 2.53-2.56

=====

# CsHfPO

A geometry-optimized CsHfPO structure (GGA-PBE, the Open Quantum Materials Database).

Calculated values
Raw total energy (Ry/atom): -0.4192
ΔE to the lowest computed polymorph (eV/atom): 1.212
Total magnetization (μB/cell): 0.4
Calculated volume (Å³/atom): 29.12

a = 4.5930 Å, b = 4.5930 Å, c = 11.0436 Å
α = 90.00°, β = 90.00°, γ = 90.00°
Last column: nearest neighbours and their distance in Å.
Atoms (fractional coordinates):
1 Cs 0.2500 0.2500 0.1409  4 O 2.77
2 Cs 0.7500 0.7500 0.8591  4 O 2.77
3 Hf 0.2500 0.7500 0.5000  4 P 2.55
4 Hf 0.7500 0.2500 0.5000  4 P 2.55
5 P 0.2500 0.2500 0.6007  4 Hf 2.55
6 P 0.7500 0.7500 0.3993  4 Hf 2.55
7 O 0.2500 0.7500 0.0000  4 Cs 2.77
8 O 0.7500 0.2500 0.0000  4 Cs 2.77

=====

# KCuOsS3

A geometry-optimized KCuOsS3 structure (GGA-PBE, the Open Quantum Materials Database).

Calculated values
Raw total energy (Ry/atom): -0.3748
Total magnetization (μB/cell): 1.7
Calculated volume (Å³/atom): 19.91

a = 7.2476 Å, b = 7.2476 Å, c = 9.2538 Å
α = 90.00°, β = 90.00°, γ = 150.56°
Last column: nearest neighbours and their distance in Å.
Atoms (fractional coordinates):
1 K 0.2442 0.7558 0.7500  8 S 3.20-3.39, 2 Cu 3.53
2 K 0.7558 0.2442 0.2500  8 S 3.20-3.39, 2 Cu 3.53
3 Cu 0.4705 0.5295 0.2500  4 S 2.23-2.30
4 Cu 0.5295 0.4705 0.7500  4 S 2.23-2.30
5 Os 0.0000 0.0000 0.0000  6 S 2.43-2.51
6 Os 0.0000 0.0000 0.5000  6 S 2.43-2.51
7 S 0.0692 0.9308 0.2500  2 Cu 2.30, 2 Os 2.51
8 S 0.3907 0.6093 0.0416  1 Cu 2.23, 2 Os 2.43
9 S 0.3907 0.6093 0.4584  1 Cu 2.23, 2 Os 2.43
10 S 0.6093 0.3907 0.5416  1 Cu 2.23, 2 Os 2.43
11 S 0.6093 0.3907 0.9584  1 Cu 2.23, 2 Os 2.43
12 S 0.9308 0.0692 0.7500  2 Cu 2.30, 2 Os 2.51

=====

# ErOsNO

A geometry-optimized ErOsNO structure (GGA-PBE, the Open Quantum Materials Database).

Calculated values
Raw total energy (Ry/atom): -0.6008
ΔE to the lowest computed polymorph (eV/atom): 0.553
Total magnetization (μB/cell): 0.0
Calculated volume (Å³/atom): 14.44

a = 3.5619 Å, b = 6.1690 Å, c = 5.2554 Å
α = 90.00°, β = 90.00°, γ = 90.00°
Last column: nearest neighbours and their distance in Å.
Atoms (fractional coordinates):
1 Er 0.0000 0.1932 0.0000  2 O 2.16-2.19, 2 N 2.24
2 Er 0.0000 0.8068 0.5000  2 O 2.16-2.19, 2 N 2.24
3 Os 0.5000 0.4054 0.4260  2 N 1.89-1.97
4 Os 0.5000 0.5946 0.9260  2 N 1.89-1.97
5 N 0.5000 0.3132 0.7843  2 Os 1.89-1.97
6 N 0.5000 0.6868 0.2843  2 Os 1.89-1.97
7 O 0.0000 0.1535 0.4079  2 Er 2.16-2.19, 2 Os 2.37
8 O 0.0000 0.8465 0.9079  2 Er 2.16-2.19, 2 Os 2.37

=====

# TaTe3SI

A geometry-optimized TaTe3SI structure (GGA-PBE, the Open Quantum Materials Database).

Calculated values
Raw total energy (Ry/atom): -0.3565
ΔE to the lowest computed polymorph (eV/atom): 0.004
Total magnetization (μB/cell): 0.0
Calculated volume (Å³/atom): 37.10

a = 6.6243 Å, b = 8.6537 Å, c = 9.3052 Å
α = 105.32°, β = 102.20°, γ = 112.50°
Last column: nearest neighbours and their distance in Å.
Atoms (fractional coordinates):
1 Ta 0.2444 0.0002 0.0006  2 S 2.51
2 Ta 0.7556 0.9998 0.9994  2 S 2.51
3 Te 0.1970 0.2453 0.2534  1 S 2.55
4 Te 0.3277 0.6901 0.9421  1 Te 2.86, 2 Ta 2.88
5 Te 0.3497 0.8657 0.7213  1 Te 2.86, 2 Ta 2.89-2.90
6 Te 0.6503 0.1343 0.2787  1 Te 2.86, 2 Ta 2.89-2.90
7 Te 0.6723 0.3099 0.0579  1 Te 2.86, 2 Ta 2.88
8 Te 0.8030 0.7547 0.7466  1 S 2.55
9 S 0.0020 0.0989 0.8382  2 Ta 2.51, 1 Te 2.55
10 S 0.9980 0.9011 0.1618  2 Ta 2.51, 1 Te 2.55
11 I 0.4023 0.6408 0.2758  2 Te 3.09-3.21
12 I 0.5977 0.3592 0.7242  2 Te 3.09-3.21

=====

# NpBi

A geometry-optimized NpBi structure (GGA-PBE, the Open Quantum Materials Database).

Calculated values
Raw total energy (Ry/atom): -0.6099
ΔE to the lowest computed polymorph (eV/atom): 0.084
Total magnetization (μB/cell): 2.2
Calculated volume (Å³/atom): 26.71

a = 5.3909 Å, b = 4.5212 Å, c = 8.7654 Å
α = 90.00°, β = 90.00°, γ = 90.00°
Last column: nearest neighbours and their distance in Å.
Atoms (fractional coordinates):
1 Np 0.0000 0.0000 0.0000  6 Np 2.69-2.70
2 Np 0.2500 0.5000 0.0629  6 Np 2.69-2.91
3 Np 0.5000 0.0000 0.0000  6 Np 2.69-2.70
4 Np 0.7500 0.5000 0.9371  6 Np 2.69-2.91
5 Bi 0.2500 0.0000 0.3413  4 Np 3.28-3.33, 4 Bi 3.54
6 Bi 0.2500 0.5000 0.7056  3 Np 3.13-3.37
7 Bi 0.7500 0.0000 0.6587  4 Np 3.28-3.33, 4 Bi 3.54
8 Bi 0.7500 0.5000 0.2944  3 Np 3.13-3.37

=====

# LiAl2ZnCu4

A geometry-optimized LiAl2ZnCu4 structure (GGA-PBE, the Open Quantum Materials Database).

Calculated values
Raw total energy (Ry/atom): -0.2491
ΔE to the lowest computed polymorph (eV/atom): 0.000
Calculated volume (Å³/atom): 12.72

a = 4.1589 Å, b = 4.1589 Å, c = 5.8839 Å
α = 90.00°, β = 90.00°, γ = 90.00°
Last column: nearest neighbours and their distance in Å.
Atoms (fractional coordinates):
1 Li 0.0000 0.0000 0.0000  8 Cu 2.53
2 Al 0.0000 0.0000 0.5000  8 Cu 2.56
3 Al 0.5000 0.5000 0.0000  8 Cu 2.53
4 Zn 0.5000 0.5000 0.5000  8 Cu 2.56
5 Cu 0.0000 0.5000 0.2453  2 Li 2.53, 4 Al 2.53-2.56, 2 Zn 2.56
6 Cu 0.0000 0.5000 0.7547  2 Li 2.53, 4 Al 2.53-2.56, 2 Zn 2.56
7 Cu 0.5000 0.0000 0.2453  2 Li 2.53, 4 Al 2.53-2.56, 2 Zn 2.56
8 Cu 0.5000 0.0000 0.7547  2 Li 2.53, 4 Al 2.53-2.56, 2 Zn 2.56

=====

# SrTaAsO

A geometry-optimized SrTaAsO structure (GGA-PBE, the Open Quantum Materials Database).

Calculated values
Raw total energy (Ry/atom): -0.5119
ΔE to the lowest computed polymorph (eV/atom): 0.212
Total magnetization (μB/cell): 0.0
Calculated volume (Å³/atom): 21.33

a = 4.2209 Å, b = 4.2209 Å, c = 9.5794 Å
α = 90.00°, β = 90.00°, γ = 90.00°
Last column: nearest neighbours and their distance in Å.
Atoms (fractional coordinates):
1 Sr 0.2500 0.2500 0.1135  4 O 2.37
2 Sr 0.7500 0.7500 0.8865  4 O 2.37
3 Ta 0.2500 0.7500 0.5000  4 As 2.62
4 Ta 0.7500 0.2500 0.5000  4 As 2.62
5 As 0.2500 0.2500 0.6628  4 Ta 2.62
6 As 0.7500 0.7500 0.3372  4 Ta 2.62
7 O 0.2500 0.7500 0.0000  4 Sr 2.37
8 O 0.7500 0.2500 0.0000  4 Sr 2.37

=====

# PmY6Sc

A geometry-optimized PmY6Sc structure (GGA-PBE, the Open Quantum Materials Database).

Calculated values
Raw total energy (Ry/atom): -0.4564
Total magnetization (μB/cell): 0.5
E_form (eV/f.u.): 0.18
Calculated volume (Å³/atom): 31.67

a = 5.6232 Å, b = 7.2120 Å, c = 7.2120 Å
α = 60.02°, β = 90.00°, γ = 90.00°
Last column: nearest neighbours and their distance in Å.
Atoms (fractional coordinates):
1 Pm 0.0000 0.0000 0.0000  12 Y 3.49-3.61
2 Y 0.0000 0.0030 0.4984  2 Sc 3.49, 8 Y 3.51-3.64, 2 Pm 3.61
3 Y 0.0000 0.4984 0.0030  2 Sc 3.49, 8 Y 3.51-3.64, 2 Pm 3.61
4 Y 0.0000 0.4989 0.4989  2 Sc 3.49, 8 Y 3.51-3.63, 2 Pm 3.61
5 Y 0.5000 0.3314 0.8348  2 Pm 3.49, 8 Y 3.51-3.63, 2 Sc 3.60-3.62
6 Y 0.5000 0.8339 0.8339  2 Pm 3.49, 8 Y 3.51-3.62, 2 Sc 3.61
7 Y 0.5000 0.8348 0.3314  2 Pm 3.49, 8 Y 3.51-3.63, 2 Sc 3.60-3.62
8 Sc 0.5000 0.3327 0.3327  12 Y 3.49-3.62

=====

What did the third record say?
# CsHfPO

A geometry-optimized CsHfPO structure (GGA-PBE, the Open Quantum Materials Database).

Calculated values
Raw total energy (Ry/atom): -0.4192
ΔE to the lowest computed polymorph (eV/atom): 1.212
Total magnetization (μB/cell): 0.4
Calculated volume (Å³/atom): 29.12

a = 4.5930 Å, b = 4.5930 Å, c = 11.0436 Å
α = 90.00°, β = 90.00°, γ = 90.00°
Last column: nearest neighbours and their distance in Å.
Atoms (fractional coordinates):
1 Cs 0.2500 0.2500 0.1409  4 O 2.77
2 Cs 0.7500 0.7500 0.8591  4 O 2.77
3 Hf 0.2500 0.7500 0.5000  4 P 2.55
4 Hf 0.7500 0.2500 0.5000  4 P 2.55
5 P 0.2500 0.2500 0.6007  4 Hf 2.55
6 P 0.7500 0.7500 0.3993  4 Hf 2.55
7 O 0.2500 0.7500 0.0000  4 Cs 2.77
8 O 0.7500 0.2500 0.0000  4 Cs 2.77

=====

> raw total energy of number 9 (SrTaAsO)?

-0.5119 Ry/atom

=====

> What is the calculated volume in the sixth record?

37.10 Å³/atom

=====

> Among the records above, which one has the lowest calculated volume?

LiZnCu2